# 1
VASP calculation (PBE) on a geometry-optimized NaSr2LiCu structure.

a = 5.9740 Å, b = 5.9740 Å, c = 5.5014 Å
α = 90.00°, β = 90.00°, γ = 90.00°
With the nearest neighbours (Å) after each atom.
Fractional positions:
Na: 0.0000 0.0000 0.0000  2 Cu 2.75
Sr: 0.0000 0.5000 0.5000  2 Cu 2.99
Sr: 0.5000 0.0000 0.5000  2 Cu 2.99
Li: 0.5000 0.5000 0.0000  8 Sr 4.06, 4 Na 4.22
Cu: 0.0000 0.0000 0.5000  2 Na 2.75, 4 Sr 2.99

Properties
The total magnetization is 0.00 μB/atom. The calculation puts the formation energy at 0.130 eV per atom.



# 2
VASP calculation (PBE) on a geometry-optimized NaSr2LiCu structure.

a = 6.0635 Å, b = 6.0635 Å, c = 5.0058 Å
α = 90.00°, β = 90.00°, γ = 90.00°
With the nearest neighbours (Å) after each atom.
Fractional positions:
Na: 0.0000 0.0000 0.0000  8 Sr 3.93, 4 Li 4.29
Sr: 0.0000 0.5000 0.5000  2 Cu 3.03
Sr: 0.5000 0.0000 0.5000  2 Cu 3.03
Li: 0.5000 0.5000 0.0000  2 Cu 2.50
Cu: 0.5000 0.5000 0.5000  2 Li 2.50

Properties
The total magnetization is 0.00 μB/atom. The calculation puts the formation energy at 0.051 eV per atom.



# 3
VASP calculation (PBE) on a geometry-optimized Na2LiCuTe2 structure.

a = 8.4940 Å, b = 8.4940 Å, c = 8.4940 Å
α = 136.48°, β = 63.34°, γ = 136.36°
With the nearest neighbours (Å) after each atom.
Fractional positions:
Na: 0.1670 0.2445 0.4115  5 Te 3.18-3.32, 2 Cu 3.27, 2 Li 3.30
Na: 0.3330 0.7445 0.0775  5 Te 3.18-3.32, 2 Cu 3.27, 2 Li 3.30
Na: 0.6670 0.2555 0.9225  5 Te 3.18-3.32, 2 Cu 3.27, 2 Li 3.30
Na: 0.8330 0.7555 0.5885  5 Te 3.18-3.32, 2 Cu 3.27, 2 Li 3.30
Li: 0.2500 0.7500 0.5000  4 Te 2.77
Li: 0.7500 0.2500 0.5000  4 Te 2.77
Cu: 0.2500 0.2500 0.0000  4 Te 2.73
Cu: 0.7500 0.7500 0.0000  4 Te 2.73
Te: 0.1116 0.7559 0.8675  2 Cu 2.73, 2 Li 2.77
Te: 0.3884 0.2559 0.6444  2 Cu 2.73, 2 Li 2.77
Te: 0.6116 0.7441 0.3556  2 Cu 2.73, 2 Li 2.77
Te: 0.8884 0.2441 0.1325  2 Cu 2.73, 2 Li 2.77

Properties
The total magnetization is 0.00 μB/atom. Its raw formation energy is -17.0 kcal/mol of atoms.



# 4
VASP calculation (PBE) on a geometry-optimized Na2LiTiCu structure.

a = 5.8340 Å, b = 5.8340 Å, c = 4.7419 Å
α = 90.00°, β = 90.00°, γ = 90.00°
With the nearest neighbours (Å) after each atom.
Fractional positions:
Na: 0.0000 0.5000 0.0000  2 Ti 2.92
Na: 0.5000 0.0000 0.0000  2 Ti 2.92
Li: 0.0000 0.0000 0.5000  8 Na 3.76, 4 Cu 4.13
Ti: 0.5000 0.5000 0.0000  2 Cu 2.37
Cu: 0.5000 0.5000 0.5000  2 Ti 2.37

Properties
The total magnetization is 0.54 μB/atom. The calculation puts the formation energy at 0.929 eV per atom.



# 5
VASP calculation (PBE) on a geometry-optimized NaLiZnCu structure.

a = 4.5596 Å, b = 4.5596 Å, c = 4.5596 Å
α = 60.00°, β = 60.00°, γ = 60.00°
With the nearest neighbours (Å) after each atom.
Fractional positions:
Na: 0.0000 0.0000 0.0000  4 Li 2.79, 4 Zn 2.79
Li: 0.2500 0.2500 0.2500  4 Na 2.79, 4 Cu 2.79
Zn: 0.7500 0.7500 0.7500  4 Cu 2.79, 4 Na 2.79
Cu: 0.5000 0.5000 0.5000  4 Li 2.79, 4 Zn 2.79

Properties
The total magnetization is 0.00 μB/atom. The calculation puts the formation energy at 0.083 eV per atom.



# 6
VASP calculation (PBE) on a geometry-optimized LiNb2Cu structure.

a = 4.4279 Å, b = 4.4279 Å, c = 4.4279 Å
α = 60.00°, β = 60.00°, γ = 60.00°
With the nearest neighbours (Å) after each atom.
Fractional positions:
Li: 0.0000 0.0000 0.0000  8 Nb 2.71
Nb: 0.2500 0.2500 0.2500  4 Li 2.71, 4 Cu 2.71
Nb: 0.7500 0.7500 0.7500  4 Li 2.71, 4 Cu 2.71
Cu: 0.5000 0.5000 0.5000  8 Nb 2.71

Properties
The total magnetization is 0.00 μB/atom. The calculation puts the formation energy at 0.361 eV per atom.



# 7
VASP calculation (PBE) on a geometry-optimized Li3NbCu structure.

a = 4.2942 Å, b = 4.2942 Å, c = 4.2942 Å
α = 90.00°, β = 90.00°, γ = 90.00°
With the nearest neighbours (Å) after each atom.
Fractional positions:
Li: 0.0000 0.0000 0.5000  2 Cu 2.15
Li: 0.0000 0.5000 0.0000  2 Cu 2.15
Li: 0.5000 0.0000 0.0000  2 Cu 2.15
Nb: 0.5000 0.5000 0.5000  12 Li 3.04
Cu: 0.0000 0.0000 0.0000  6 Li 2.15

Properties
The total magnetization is 0.00 μB/atom. The calculation puts the formation energy at 0.828 eV per atom.



# 8
VASP calculation (PBE) on a geometry-optimized LiNbCu3 structure.

a = 4.0818 Å, b = 4.0818 Å, c = 4.0818 Å
α = 90.00°, β = 90.00°, γ = 90.00°
With the nearest neighbours (Å) after each atom.
Fractional positions:
Li: 0.0000 0.0000 0.0000  6 Cu 2.04
Nb: 0.5000 0.5000 0.5000  12 Cu 2.89
Cu: 0.0000 0.0000 0.5000  2 Li 2.04
Cu: 0.0000 0.5000 0.0000  2 Li 2.04
Cu: 0.5000 0.0000 0.0000  2 Li 2.04

Properties
The total magnetization is 0.25 μB/atom. The calculation puts the formation energy at 0.592 eV per atom.